# 1
DFT (PBE) results for a relaxed structure of TbEr2Cd.

Cell: 5.406 5.406 5.406 Å, 60.00 60.00 60.00°
Element x y z (fractional)
Tb: 0.000 0.000 0.000
Er: 0.250 0.250 0.250
Er: 0.750 0.750 0.750
Cd: 0.500 0.500 0.500

Properties
M_tot	0.0	μB per formula unit
excess energy over the best structure of this formula in the dataset	0.60	eV per formula unit
E	-3.664	eV/atom
formation energy	0.01	eV/f.u.

=====

# 2
DFT (PBE) results for a relaxed structure of MoP2NCl.

Cell: 3.958 3.958 4.312 Å, 90.00 90.00 90.00°
Element x y z (fractional)
Mo: 0.000 0.000 0.000
P: 0.000 0.500 0.500
P: 0.500 0.000 0.500
N: 0.500 0.500 0.500
Cl: 0.500 0.500 0.000

Properties
M_tot	1.3	μB per formula unit
formation energy without anion corrections	1.09	eV/atom
excess energy over the best structure of this formula in the dataset	0.00	eV per formula unit
E	-5.276	eV/atom

=====

# 3
DFT (PBE) results for a relaxed structure of IF4.

Cell: 4.343 4.343 4.343 Å, 90.00 90.00 90.00°
Element x y z (fractional)
I: 0.000 0.000 0.000
F: 0.000 0.000 0.500
F: 0.000 0.500 0.000
F: 0.500 0.000 0.000
F: 0.500 0.500 0.500

Properties
M_tot	0.3	μB per formula unit
formation energy without anion corrections	-0.78	eV/atom
excess energy over the best structure of this formula in the dataset	2.86	eV per formula unit
E	-2.586	eV/atom

=====

# 4
DFT (PBE) results for a relaxed structure of CsAsBr4.

Cell: 11.138 11.138 7.949 Å, 90.00 90.00 151.95°
Element x y z (fractional)
Cs: 0.089 0.911 0.750
Cs: 0.911 0.089 0.250
As: 0.398 0.602 0.750
As: 0.602 0.398 0.250
Br: 0.086 0.914 0.250
Br: 0.321 0.679 0.522
Br: 0.321 0.679 0.978
Br: 0.500 0.500 0.000
Br: 0.500 0.500 0.500
Br: 0.679 0.321 0.022
Br: 0.679 0.321 0.478
Br: 0.914 0.086 0.750

Properties
M_tot	0.0	μB per formula unit
formation energy without anion corrections	-0.90	eV/atom
excess energy over the best structure of this formula in the dataset	0.13	eV per formula unit
E	-2.934	eV/atom

=====

# 5
DFT (PBE) results for a relaxed structure of Pm2Be17.

Cell: 5.915 5.915 5.915 Å, 82.91 82.91 82.91°
Element x y z (fractional)
Pm: 0.160 0.160 0.160
Pm: 0.840 0.840 0.840
Be: 0.000 0.500 0.500
Be: 0.167 0.167 0.656
Be: 0.167 0.656 0.167
Be: 0.226 0.500 0.774
Be: 0.226 0.774 0.500
Be: 0.344 0.833 0.833
Be: 0.406 0.406 0.406
Be: 0.500 0.000 0.500
Be: 0.500 0.226 0.774
Be: 0.500 0.500 0.000
Be: 0.500 0.774 0.226
Be: 0.594 0.594 0.594
Be: 0.656 0.167 0.167
Be: 0.774 0.226 0.500
Be: 0.774 0.500 0.226
Be: 0.833 0.344 0.833
Be: 0.833 0.833 0.344

Properties
M_tot	0.0	μB per formula unit
E	-3.923	eV/atom
formation energy	-1.69	eV/f.u.

=====

# 6
DFT (PBE) results for a relaxed structure of HgPb3Br2Cl6.

Cell: 8.465 8.465 6.445 Å, 92.42 92.42 60.21°
Element x y z (fractional)
Hg: 0.000 0.000 0.000
Pb: 0.000 0.500 0.000
Pb: 0.500 0.000 0.000
Pb: 0.500 0.500 0.500
Br: 0.317 0.317 0.705
Br: 0.683 0.683 0.295
Cl: 0.153 0.153 0.220
Cl: 0.170 0.678 0.235
Cl: 0.322 0.830 0.765
Cl: 0.678 0.170 0.235
Cl: 0.830 0.322 0.765
Cl: 0.847 0.847 0.780

Properties
M_tot	0.0	μB per formula unit
formation energy without anion corrections	-0.92	eV/atom
E	-3.078	eV/atom

=====

# 7
DFT (PBE) results for a relaxed structure of Ho2PaO.

Cell: 9.510 9.510 9.510 Å, 19.84 19.84 19.84°
Element x y z (fractional)
Ho: 0.115 0.115 0.115
Ho: 0.885 0.885 0.885
Pa: 0.000 0.000 0.000
O: 0.500 0.500 0.500

Properties
M_tot	0.0	μB per formula unit
formation energy without anion corrections	-1.08	eV/atom
E	-6.979	eV/atom

=====

# 8
DFT (PBE) results for a relaxed structure of TaFeSe2.

Cell: 3.345 3.345 6.982 Å, 90.00 90.00 90.00°
Element x y z (fractional)
Ta: 0.000 0.000 0.000
Fe: 0.500 0.500 0.215
Se: 0.000 0.000 0.365
Se: 0.500 0.500 0.824

Properties
M_tot	2.3	μB per formula unit
formation energy without anion corrections	-0.27	eV/atom
excess energy over the best structure of this formula in the dataset	1.01	eV per formula unit
E	-7.095	eV/atom

=====

# 9
DFT (PBE) results for a relaxed structure of Na2CrOs.

Cell: 6.279 6.279 6.279 Å, 98.72 98.72 134.17°
Element x y z (fractional)
Na: 0.123 0.625 0.998
Na: 0.375 0.373 0.498
Na: 0.627 0.125 0.002
Na: 0.875 0.877 0.502
Cr: 0.250 0.750 0.500
Cr: 0.500 0.500 0.000
Os: 0.000 0.000 0.000
Os: 0.750 0.250 0.500

Properties
M_tot	2.9	μB per formula unit
excess energy over the best structure of this formula in the dataset	0.00	eV per formula unit
E	-4.509	eV/atom
formation energy	5.46	eV/f.u.

=====

# 10
DFT (PBE) results for a relaxed structure of LaCoRu.

Cell: 4.094 4.094 4.315 Å, 90.00 90.00 120.00°
Element x y z (fractional)
La: 0.000 0.000 0.000
Co: 0.333 0.667 0.500
Ru: 0.667 0.333 0.500

Properties
M_tot	1.7	μB per formula unit
E	-7.154	eV/atom
formation energy	-0.15	eV/f.u.

=====

# 11
DFT (PBE) results for a relaxed structure of KFeSe.

Cell: 3.870 3.870 10.426 Å, 90.00 90.00 90.00°
Element x y z (fractional)
K: 0.250 0.250 0.196
K: 0.750 0.750 0.804
Fe: 0.250 0.750 0.500
Fe: 0.750 0.250 0.500
Se: 0.250 0.250 0.625
Se: 0.750 0.750 0.375

Properties
M_tot	0.0	μB per formula unit
formation energy without anion corrections	-0.37	eV/atom
excess energy over the best structure of this formula in the dataset	0.00	eV per formula unit
E	-4.717	eV/atom

=====

# 12
DFT (PBE) results for a relaxed structure of TmTl2Pd7.

Cell: 8.183 8.183 4.152 Å, 90.00 90.00 126.08°
Element x y z (fractional)
Tm: 0.000 0.000 0.000
Tl: 0.308 0.692 0.500
Tl: 0.692 0.308 0.500
Pd: 0.085 0.281 0.500
Pd: 0.187 0.813 0.000
Pd: 0.281 0.085 0.500
Pd: 0.500 0.500 0.500
Pd: 0.719 0.915 0.500
Pd: 0.813 0.187 0.000
Pd: 0.915 0.719 0.500

Properties
M_tot	0.0	μB per formula unit
E	-4.628	eV/atom
formation energy	-0.72	eV/f.u.

=====

# 13
DFT (PBE) results for a relaxed structure of LiDyPb2S4.

Cell: 6.929 4.060 7.132 Å, 90.00 108.54 90.00°
Element x y z (fractional)
Li: 0.000 0.000 0.000
Dy: 0.500 0.500 0.000
Pb: 0.000 0.500 0.500
Pb: 0.500 0.000 0.500
S: 0.246 0.500 0.225
S: 0.259 0.000 0.779
S: 0.741 0.000 0.221
S: 0.754 0.500 0.775

Properties
M_tot	0.0	μB per formula unit
formation energy without anion corrections	-1.14	eV/atom
E	-4.943	eV/atom

=====

# 14
DFT (PBE) results for a relaxed structure of TaIn2Mo.

Cell: 2.926 2.926 8.917 Å, 90.00 90.00 90.00°
Element x y z (fractional)
Ta: 0.000 0.000 0.000
In: 0.500 0.500 0.256
In: 0.500 0.500 0.744
Mo: 0.000 0.000 0.500

Properties
M_tot	0.4	μB per formula unit
excess energy over the best structure of this formula in the dataset	0.81	eV per formula unit
E	-6.646	eV/atom
formation energy	1.58	eV/f.u.

=====

# 15
DFT (PBE) results for a relaxed structure of ZrCrGa2Cl.

Cell: 4.766 4.766 4.732 Å, 90.00 90.00 90.00°
Element x y z (fractional)
Zr: 0.000 0.000 0.000
Cr: 0.000 0.000 0.500
Ga: 0.000 0.500 0.500
Ga: 0.500 0.000 0.500
Cl: 0.500 0.500 0.000

Properties
M_tot	0.8	μB per formula unit
formation energy without anion corrections	0.14	eV/atom
E	-5.075	eV/atom

=====

# 16
DFT (PBE) results for a relaxed structure of KLiPuCl4.

Cell: 6.748 6.888 8.740 Å, 90.00 108.83 90.00°
Element x y z (fractional)
K: 0.227 0.250 0.436
K: 0.773 0.750 0.564
Li: 0.261 0.750 0.184
Li: 0.739 0.250 0.816
Pu: 0.300 0.250 0.955
Pu: 0.700 0.750 0.045
Cl: 0.046 0.750 0.919
Cl: 0.052 0.750 0.345
Cl: 0.491 0.501 0.775
Cl: 0.491 0.999 0.775
Cl: 0.509 0.001 0.225
Cl: 0.509 0.499 0.225
Cl: 0.948 0.250 0.655
Cl: 0.954 0.250 0.081

Properties
M_tot	6.0	μB per formula unit
formation energy without anion corrections	-1.79	eV/atom
E	-5.327	eV/atom

=====

# 17
DFT (PBE) results for a relaxed structure of NaPr4Mg5.

Cell: 3.905 3.905 19.606 Å, 90.00 90.00 90.00°
Element x y z (fractional)
Na: 0.000 0.000 0.000
Pr: 0.000 0.000 0.203
Pr: 0.000 0.000 0.401
Pr: 0.000 0.000 0.599
Pr: 0.000 0.000 0.797
Mg: 0.500 0.500 0.100
Mg: 0.500 0.500 0.301
Mg: 0.500 0.500 0.500
Mg: 0.500 0.500 0.699
Mg: 0.500 0.500 0.900

Properties
M_tot	0.0	μB per formula unit
E	-2.900	eV/atom
formation energy	-0.59	eV/f.u.

=====

# 18
DFT (PBE) results for a relaxed structure of CaLa2Pd4.

Cell: 5.224 5.471 7.065 Å, 102.75 90.79 113.88°
Element x y z (fractional)
Ca: 0.000 0.000 0.000
La: 0.499 0.690 0.309
La: 0.501 0.310 0.691
Pd: 0.000 0.500 0.000
Pd: 0.196 0.670 0.652
Pd: 0.500 0.000 0.000
Pd: 0.804 0.330 0.348

Properties
M_tot	0.0	μB per formula unit
E	-5.215	eV/atom
formation energy	-3.88	eV/f.u.

=====

# 19
DFT (PBE) results for a relaxed structure of Ho12Co5Te.

Cell: 8.250 8.250 8.250 Å, 111.24 110.06 107.14°
Element x y z (fractional)
Ho: 0.022 0.213 0.808
Ho: 0.180 0.283 0.463
Ho: 0.180 0.717 0.896
Ho: 0.319 0.004 0.685
Ho: 0.319 0.634 0.315
Ho: 0.405 0.213 0.192
Ho: 0.595 0.787 0.808
Ho: 0.681 0.366 0.685
Ho: 0.681 0.996 0.315
Ho: 0.820 0.283 0.104
Ho: 0.820 0.717 0.537
Ho: 0.978 0.787 0.192
Co: 0.000 0.000 0.000
Co: 0.113 0.613 0.500
Co: 0.354 0.000 0.354
Co: 0.646 0.000 0.646
Co: 0.887 0.387 0.500
Te: 0.500 0.500 0.000

Properties
M_tot	0.3	μB per formula unit
formation energy without anion corrections	-0.32	eV/atom
E	-5.519	eV/atom

=====

# 20
DFT (PBE) results for a relaxed structure of CsAg2IrF8.

Cell: 5.011 5.674 8.178 Å, 84.68 82.41 73.65°
Element x y z (fractional)
Cs: 0.000 0.000 0.000
Ag: 0.415 0.444 0.221
Ag: 0.585 0.556 0.779
Ir: 0.000 0.000 0.500
F: 0.016 0.245 0.647
F: 0.148 0.174 0.307
F: 0.368 0.791 0.540
F: 0.392 0.322 0.955
F: 0.608 0.678 0.045
F: 0.632 0.209 0.460
F: 0.852 0.826 0.693
F: 0.984 0.755 0.353

Properties
M_tot	2.1	μB per formula unit
formation energy without anion corrections	-1.56	eV/atom
E	-4.092	eV/atom